Record 1
Entry from Alexandria via LeMat-Bulk: a relaxed structure of PtSeO4 (GGA-PBE).

Structure (POSCAR):
```
PtSeO4
1.0
5.0266 0.8445 0.0000
0.8071 5.1174 0.0000
0.0000 0.0000 6.7643
Pt Se O
2 2 8
Direct
0.5000 0.2500 0.3707
0.5000 0.7500 0.6293
0.0000 0.2500 0.6991
0.0000 0.7500 0.3009
0.2280 0.5071 0.1540
0.2803 0.4820 0.5919
0.7720 0.9929 0.1540
0.7197 0.5180 0.4081
0.7197 0.0180 0.5919
0.2280 0.0071 0.8460
0.2803 0.9820 0.4081
0.7720 0.4929 0.8460
```

Values from the calculation:
- Spin magnetization: 0.00 μB/atom
- Symmetry: No. 13
- VASP energy: -63.2 eV per cell
- ΔE_f (raw): -377 meV/atom

Record 2
Entry from Alexandria via LeMat-Bulk: a relaxed structure of Pt2SeO (GGA-PBE).

Structure (POSCAR):
```
Pt2SeO
1.0
6.1077 0.0000 0.0000
0.0000 6.1077 0.0000
3.0539 3.0539 3.4478
O Se Pt
2 2 4
Direct
0.5000 0.5000 0.0000
0.2500 0.7500 0.5000
0.0000 0.0000 0.0000
0.7500 0.2500 0.5000
0.5934 0.1250 0.2500
0.1566 0.6250 0.2500
0.3750 0.4066 0.7500
0.8750 0.8434 0.7500
```

Values from the calculation:
- Relative energy among the computed polymorphs: 0 meV per atom
- Spin magnetization: 0.00 μB/atom
- Symmetry: No. 122
- VASP energy: -39.6 eV per cell
- ΔE_f (raw): 185 meV/atom

Record 3
Entry from Alexandria via LeMat-Bulk: a relaxed structure of Pt2SeO (GGA-PBE).

Structure (POSCAR):
```
Pt2SeO
1.0
0.0000 3.0476 3.0476
3.0476 0.0000 3.0476
3.0476 3.0476 0.0000
O Se Pt
1 1 2
Direct
0.0000 0.0000 0.0000
0.5000 0.5000 0.5000
0.2500 0.2500 0.2500
0.7500 0.7500 0.7500
```

Values from the calculation:
- Relative energy among the computed polymorphs: 170 meV per atom
- Spin magnetization: 0.00 μB/atom
- Symmetry: No. 225
- VASP energy: -19.1 eV per cell
- ΔE_f (raw): 355 meV/atom

Record 4
Entry from Alexandria via LeMat-Bulk: a relaxed structure of SrPtSeO6 (GGA-PBE).

Structure (POSCAR):
```
SrPtSeO6
1.0
-1.6189 4.6611 1.4500
-4.8877 0.6908 1.4430
1.3557 -1.1251 5.1302
Sr Pt Se O
1 1 1 6
Direct
0.0000 0.0000 0.0000
0.6666 0.6667 0.5000
0.3333 0.3333 0.5000
0.0250 0.3580 0.3054
0.3580 0.0250 0.6945
0.6169 0.3580 0.6945
0.0250 0.6170 0.6945
0.3580 0.6170 0.3054
0.6170 0.0250 0.3054
```

Values from the calculation:
- Spin magnetization: 0.00 μB/atom
- Symmetry: No. 149
- VASP energy: -52.0 eV per cell
- ΔE_f (raw): -1224 meV/atom

Record 5
Entry from Alexandria via LeMat-Bulk: a relaxed structure of SrPtSeO2 (GGA-PBE).

Structure (POSCAR):
```
SrPtSeO2
1.0
-0.9959 -2.1353 -3.5943
5.0118 -4.2761 1.1516
-2.6658 -2.5220 2.2369
O Sr Se Pt
2 1 1 1
Direct
0.0000 0.0000 0.5000
0.5000 0.0000 0.0000
0.0000 0.0000 0.0000
0.0000 0.5000 0.0000
0.5000 0.5000 0.5000
```

Values from the calculation:
- Spin magnetization: 0.59 μB/atom
- Symmetry: No. 123
- VASP energy: -19.8 eV per cell
- ΔE_f (raw): 256 meV/atom

Record 6
Entry from Alexandria via LeMat-Bulk: a relaxed structure of TePtSe2O (GGA-PBE).

Structure (POSCAR):
```
TePtSe2O
1.0
4.0244 0.0000 0.0000
0.0000 7.0602 0.0000
0.0000 0.0000 4.0244
O Te Se Pt
1 1 2 1
Direct
0.0000 0.0000 0.0000
0.0000 0.5000 0.0000
0.0000 0.0000 0.5000
0.5000 0.0000 0.0000
0.5000 0.5000 0.5000
```

Values from the calculation:
- Spin magnetization: 0.00 μB/atom
- Symmetry: No. 123
- VASP energy: -18.2 eV per cell
- ΔE_f (raw): 581 meV/atom

Please write out number 4 again, unchanged.
Entry from Alexandria via LeMat-Bulk: a relaxed structure of SrPtSeO6 (GGA-PBE).

Structure (POSCAR):
```
SrPtSeO6
1.0
-1.6189 4.6611 1.4500
-4.8877 0.6908 1.4430
1.3557 -1.1251 5.1302
Sr Pt Se O
1 1 1 6
Direct
0.0000 0.0000 0.0000
0.6666 0.6667 0.5000
0.3333 0.3333 0.5000
0.0250 0.3580 0.3054
0.3580 0.0250 0.6945
0.6169 0.3580 0.6945
0.0250 0.6170 0.6945
0.3580 0.6170 0.3054
0.6170 0.0250 0.3054
```

Values from the calculation:
- Spin magnetization: 0.00 μB/atom
- Symmetry: No. 149
- VASP energy: -52.0 eV per cell
- ΔE_f (raw): -1224 meV/atom